A relaxed Na5Mn3S4O16F4 crystal, computed with GGA+U.

```
data_Na5Mn3S4O16F4
_chemical_formula_sum 'Na5 Mn3 S4 O16 F4'
_space_group_name_H-M_alt 'P -1'
_space_group_IT_number 2
_space_group_name_Hall '-P 1'
_cell_length_a 6.727
_cell_length_b 6.794
_cell_length_c 9.123
_cell_angle_alpha 94.95
_cell_angle_beta 96.82
_cell_angle_gamma 92.33
loop_
_atom_site_label
_atom_site_fract_x
_atom_site_fract_y
_atom_site_fract_z
Na1 0.000 0.000 0.000
Na2 0.242 0.507 0.659
Na3 0.465 0.740 0.016
Mn1 0.000 0.500 0.000
Mn2 0.225 0.840 0.357
S1 0.246 0.345 0.280
S2 0.279 0.046 0.701
O1 0.072 0.319 0.153
O2 0.102 0.166 0.663
O3 0.200 0.510 0.388
O4 0.245 0.158 0.349
O5 0.263 0.860 0.599
O6 0.292 0.996 0.857
O7 0.433 0.388 0.219
O8 0.460 0.172 0.683
F1 0.163 0.760 0.120
F2 0.243 0.462 0.919
```

Output
size of the total moment = 14.000 μB per cell
E_tot = -6.03 eV/atom